(1)
Ba3Zr6BeCl18, relaxed, DFT PBEsol; formation energy (no corrections) = -1.92 eV per atom; symmetry = R-3c
1.0
4.8370 2.7926 17.3007
-4.8370 2.7926 17.3007
0.0000 -5.5853 17.3007
Ba Zr Be Cl
6 12 2 36
Direct
0.1110 0.1110 0.1110
0.2500 0.2500 0.2500
0.3890 0.3890 0.3890
0.6110 0.6110 0.6110
0.7500 0.7500 0.7500
0.8890 0.8890 0.8890
0.0104 0.2303 0.8356
0.1644 0.9896 0.7697
0.2303 0.8356 0.0104
0.2697 0.4896 0.6644
0.3356 0.7303 0.5104
0.4896 0.6644 0.2697
0.5104 0.3356 0.7303
0.6644 0.2697 0.4896
0.7303 0.5104 0.3356
0.7697 0.1644 0.9896
0.8356 0.0104 0.2303
0.9896 0.7697 0.1644
0.0000 0.0000 0.0000
0.5000 0.5000 0.5000
0.0037 0.4717 0.8664
0.0283 0.4963 0.6336
0.0718 0.7339 0.6978
0.0734 0.8424 0.2570
0.1336 0.9963 0.5283
0.1576 0.7430 0.9266
0.1978 0.2339 0.5718
0.2339 0.5718 0.1978
0.2430 0.6576 0.4266
0.2570 0.0734 0.8424
0.2661 0.3022 0.9282
0.3022 0.9282 0.2661
0.3424 0.5734 0.7570
0.3664 0.9717 0.5037
0.4266 0.2430 0.6576
0.4282 0.8022 0.7661
0.4717 0.8664 0.0037
0.4963 0.6336 0.0283
0.5037 0.3664 0.9717
0.5283 0.1336 0.9963
0.5718 0.1978 0.2339
0.5734 0.7570 0.3424
0.6336 0.0283 0.4963
0.6576 0.4266 0.2430
0.6978 0.0718 0.7339
0.7339 0.6978 0.0718
0.7430 0.9266 0.1576
0.7570 0.3424 0.5734
0.7661 0.4282 0.8022
0.8022 0.7661 0.4282
0.8424 0.2570 0.0734
0.8664 0.0037 0.4717
0.9266 0.1576 0.7430
0.9282 0.2661 0.3022
0.9717 0.5037 0.3664
0.9963 0.5283 0.1336

---

(2)
BaBe4Co, relaxed, DFT PBEsol; formation energy from the elements = 624 meV per atom; symmetry = F-43m
1.0
0.0000 3.4108 3.4108
3.4108 0.0000 3.4108
3.4108 3.4108 0.0000
Ba Be Co
1 4 1
Direct
0.0000 0.0000 0.0000
0.3825 0.3825 0.3825
0.3825 0.3825 0.8525
0.3825 0.8525 0.3825
0.8525 0.3825 0.3825
0.7500 0.7500 0.7500

---

(3)
BaBe2CoHg, relaxed, DFT PBEsol; formation energy from the elements = 2147 meV per atom; symmetry = P4/mmm
1.0
5.2614 0.0000 0.0000
0.0000 5.2614 0.0000
0.0000 0.0000 4.8612
Ba Be Co Hg
1 2 1 1
Direct
0.0000 0.0000 0.0000
0.0000 0.5000 0.0000
0.5000 0.0000 0.0000
0.0000 0.0000 0.5000
0.5000 0.5000 0.5000

---

(4)
Ba2BeCoPb, relaxed, DFT PBEsol; formation energy from the elements = 819 meV per atom; symmetry = P4/mmm
1.0
6.5782 0.0000 0.0000
0.0000 6.5782 0.0000
0.0000 0.0000 4.4554
Ba Be Co Pb
2 1 1 1
Direct
0.0000 0.5000 0.0000
0.5000 0.0000 0.0000
0.0000 0.0000 0.5000
0.5000 0.5000 0.5000
0.0000 0.0000 0.0000

---

(5)
Ba2BeCr, relaxed, DFT PBEsol; formation energy from the elements = 576 meV per atom; symmetry = Cm
1.0
7.3571 0.0000 0.0000
0.0000 4.2457 0.0000
-2.4670 0.0000 8.5499
Ba Be Cr
4 2 2
Direct
0.0000 0.0000 0.0000
0.1783 0.0000 0.5308
0.5000 0.5000 0.0000
0.6783 0.5000 0.5308
0.2557 0.5000 0.2660
0.7557 0.0000 0.2660
0.4224 0.0000 0.2655
0.9224 0.5000 0.2655

---

(6)
BaBeCr, relaxed, DFT PBEsol; formation energy from the elements = 1301 meV per atom; symmetry = F-43m
1.0
6.8564 0.0000 0.0000
0.0000 6.8564 0.0000
0.0000 0.0000 6.8564
Ba Be Cr
4 4 4
Direct
0.0000 0.0000 0.0000
0.0000 0.5000 0.5000
0.5000 0.0000 0.5000
0.5000 0.5000 0.0000
0.0000 0.0000 0.5000
0.0000 0.5000 0.0000
0.5000 0.0000 0.0000
0.5000 0.5000 0.5000
0.2500 0.2500 0.2500
0.2500 0.7500 0.7500
0.7500 0.2500 0.7500
0.7500 0.7500 0.2500

---

(7)
BaBeCr2, relaxed, DFT PBEsol; formation energy from the elements = 764 meV per atom; symmetry = Pm
1.0
3.1393 0.0000 0.0000
0.0000 3.6905 0.0000
-1.5464 0.0000 6.7060
Ba Be Cr
1 1 2
Direct
0.0000 0.0000 0.0000
0.6508 0.5000 0.3076
0.2803 0.5000 0.5691
0.7527 0.0000 0.5140

---

(8)
BaBeCr2, relaxed, DFT PBEsol; formation energy from the elements = 1177 meV per atom; symmetry = Immm
1.0
3.1644 0.0000 0.0000
0.0000 5.4463 0.0000
0.0000 0.0000 9.7173
Ba Be Cr
2 2 4
Direct
0.0000 0.0000 0.0000
0.5000 0.5000 0.5000
0.0000 0.0000 0.5000
0.5000 0.5000 0.0000
0.0000 0.5000 0.1904
0.0000 0.5000 0.8096
0.5000 0.0000 0.3096
0.5000 0.0000 0.6904

---

(9)
BaBeCr2, relaxed, DFT PBEsol; formation energy from the elements = 1389 meV per atom; symmetry = Pmmm
1.0
4.2578 0.0000 0.0000
0.0000 4.3494 0.0000
0.0000 0.0000 4.3728
Ba Be Cr
1 1 2
Direct
0.0000 0.0000 0.0000
0.0000 0.5000 0.5000
0.5000 0.0000 0.5000
0.5000 0.5000 0.0000

---

(10)
Ba2BeCrIn, relaxed, DFT PBEsol; formation energy from the elements = 537 meV per atom; symmetry = P4/mmm
1.0
6.1561 0.0000 0.0000
0.0000 6.1561 0.0000
0.0000 0.0000 4.5157
Ba Be Cr In
2 1 1 1
Direct
0.0000 0.5000 0.0000
0.5000 0.0000 0.0000
0.0000 0.0000 0.0000
0.5000 0.5000 0.5000
0.0000 0.0000 0.5000

---

(11)
CsBa3Be, relaxed, DFT PBEsol; formation energy from the elements = 357 meV per atom; symmetry = Pm-3m
1.0
6.5466 0.0000 0.0000
0.0000 6.5466 0.0000
0.0000 0.0000 6.5466
Cs Ba Be
1 3 1
Direct
0.0000 0.0000 0.0000
0.0000 0.5000 0.5000
0.5000 0.0000 0.5000
0.5000 0.5000 0.0000
0.5000 0.5000 0.5000

---

(12)
Ba2BeCu, relaxed, DFT PBEsol; formation energy from the elements = 228 meV per atom; symmetry = Amm2
1.0
4.4186 0.0000 0.0000
0.0000 5.1492 0.0000
0.0000 0.0000 9.8150
Ba Be Cu
4 2 2
Direct
0.0000 0.0000 0.0000
0.0000 0.5000 0.5000
0.5000 0.0000 0.3250
0.5000 0.5000 0.8250
0.0000 0.0000 0.6752
0.0000 0.5000 0.1752
0.5000 0.0000 0.6498
0.5000 0.5000 0.1498

---

(13)
Ba2Be2Cu, relaxed, DFT PBEsol; formation energy from the elements = 526 meV per atom; symmetry = I4/mmm
1.0
6.0746 0.0000 0.0000
0.0000 6.0746 0.0000
0.0000 0.0000 6.8367
Ba Be Cu
4 4 2
Direct
0.0000 0.5000 0.2500
0.0000 0.5000 0.7500
0.5000 0.0000 0.2500
0.5000 0.0000 0.7500
0.0000 0.0000 0.1502
0.0000 0.0000 0.8498
0.5000 0.5000 0.3498
0.5000 0.5000 0.6502
0.0000 0.0000 0.5000
0.5000 0.5000 0.0000

---

(14)
BaBe4Cu, relaxed, DFT PBEsol; formation energy from the elements = 615 meV per atom; symmetry = F-43m
1.0
0.0000 3.5020 3.5020
3.5020 0.0000 3.5020
3.5020 3.5020 0.0000
Ba Be Cu
1 4 1
Direct
0.0000 0.0000 0.0000
0.3850 0.3850 0.3850
0.3850 0.3850 0.8449
0.3850 0.8449 0.3850
0.8449 0.3850 0.3850
0.7500 0.7500 0.7500

---

(15)
RbBa2BeCu, relaxed, DFT PBEsol; formation energy from the elements = 774 meV per atom; symmetry = P4/mmm
1.0
6.0759 0.0000 0.0000
0.0000 6.0759 0.0000
0.0000 0.0000 6.1152
Rb Ba Be Cu
1 2 1 1
Direct
0.0000 0.0000 0.0000
0.0000 0.5000 0.5000
0.5000 0.0000 0.5000
0.0000 0.0000 0.5000
0.5000 0.5000 0.0000

---

(16)
BaBeF4, relaxed, DFT PBEsol; formation energy (no corrections) = -3.65 eV per atom; symmetry = Pnma
1.0
8.8515 0.0000 0.0000
0.0000 5.2608 0.0000
0.0000 0.0000 7.0203
Ba Be F
4 4 16
Direct
0.1865 0.2500 0.1536
0.3135 0.7500 0.6536
0.6865 0.2500 0.3464
0.8135 0.7500 0.8464
0.0545 0.2500 0.6915
0.4455 0.7500 0.1915
0.5545 0.2500 0.8085
0.9455 0.7500 0.3085
0.0800 0.0110 0.8203
0.0800 0.4890 0.8203
0.1114 0.7500 0.3752
0.1768 0.2500 0.5344
0.3232 0.7500 0.0344
0.3886 0.2500 0.8752
0.4200 0.5110 0.3203
0.4200 0.9890 0.3203
0.5800 0.0110 0.6797
0.5800 0.4890 0.6797
0.6114 0.7500 0.1248
0.6768 0.2500 0.9656
0.8232 0.7500 0.4656
0.8886 0.2500 0.6248
0.9200 0.5110 0.1797
0.9200 0.9890 0.1797

---

(17)
BaBe2MoF, relaxed, DFT PBEsol; formation energy (no corrections) = 0.53 eV per atom; symmetry = P4/mmm
1.0
4.0775 0.0000 0.0000
0.0000 4.0775 0.0000
0.0000 0.0000 4.8474
Ba Be Mo F
1 2 1 1
Direct
0.0000 0.0000 0.0000
0.0000 0.5000 0.5000
0.5000 0.0000 0.5000
0.5000 0.5000 0.0000
0.0000 0.0000 0.5000

---

(18)
BaBeNF2, relaxed, DFT PBEsol; formation energy (no corrections) = -0.28 eV per atom; symmetry = P4/mmm
1.0
4.9307 0.0000 0.0000
0.0000 4.9307 0.0000
0.0000 0.0000 5.5420
Ba Be N F
1 1 1 2
Direct
0.0000 0.0000 0.0000
0.5000 0.5000 0.5000
0.0000 0.0000 0.5000
0.0000 0.5000 0.0000
0.5000 0.0000 0.0000

---

(19)
BaBeOF2, relaxed, DFT PBEsol; formation energy (no corrections) = -2.96 eV per atom; symmetry = P4/mmm
1.0
4.1562 0.0000 0.0000
0.0000 4.1562 0.0000
0.0000 0.0000 3.3714
Ba Be O F
1 1 1 2
Direct
0.0000 0.0000 0.0000
0.5000 0.5000 0.5000
0.5000 0.5000 0.0000
0.0000 0.5000 0.5000
0.5000 0.0000 0.5000

---

(20)
BaBeO2F, relaxed, DFT PBEsol; formation energy (no corrections) = -2.36 eV per atom; symmetry = P4/mmm
1.0
3.6495 0.0000 0.0000
0.0000 3.6495 0.0000
0.0000 0.0000 4.3427
Ba Be O F
1 1 2 1
Direct
0.0000 0.0000 0.0000
0.5000 0.5000 0.5000
0.0000 0.5000 0.5000
0.5000 0.0000 0.5000
0.5000 0.5000 0.0000

---

(21)
BaBe2ZnF, relaxed, DFT PBEsol; formation energy (no corrections) = 0.59 eV per atom; symmetry = P4/mmm
1.0
6.2313 0.0000 0.0000
0.0000 6.2313 0.0000
0.0000 0.0000 4.7824
Ba Be Zn F
1 2 1 1
Direct
0.0000 0.0000 0.0000
0.0000 0.5000 0.0000
0.5000 0.0000 0.0000
0.5000 0.5000 0.5000
0.0000 0.0000 0.5000

---

(22)
BaBeFe2, relaxed, DFT PBEsol; formation energy from the elements = 1161 meV per atom; symmetry = P2/m
1.0
4.6080 0.0000 0.0000
0.0000 3.1061 0.0000
-1.5884 0.0000 4.5166
Ba Be Fe
1 1 2
Direct
0.0000 0.0000 0.0000
0.0000 0.5000 0.5000
0.5000 0.0000 0.5000
0.5000 0.5000 0.0000

---

(23)
BaBe3Fe, relaxed, DFT PBEsol; formation energy from the elements = 2690 meV per atom; symmetry = Pm-3m
1.0
4.8563 0.0000 0.0000
0.0000 4.8563 0.0000
0.0000 0.0000 4.8563
Ba Be Fe
1 3 1
Direct
0.0000 0.0000 0.0000
0.0000 0.0000 0.5000
0.0000 0.5000 0.0000
0.5000 0.0000 0.0000
0.5000 0.5000 0.5000

---

(24)
BaBe2Fe, relaxed, DFT PBEsol; formation energy from the elements = 1183 meV per atom; symmetry = P4/mmm
1.0
4.8775 0.0000 0.0000
0.0000 4.8775 0.0000
0.0000 0.0000 2.8877
Ba Be Fe
1 2 1
Direct
0.0000 0.0000 0.0000
0.0000 0.5000 0.5000
0.5000 0.0000 0.5000
0.5000 0.5000 0.0000

---

(25)
BaBe4Fe, relaxed, DFT PBEsol; formation energy from the elements = 652 meV per atom; symmetry = F-43m
1.0
0.0000 3.4332 3.4332
3.4332 0.0000 3.4332
3.4332 3.4332 0.0000
Ba Be Fe
1 4 1
Direct
0.0000 0.0000 0.0000
0.3832 0.3832 0.3832
0.3832 0.3832 0.8505
0.3832 0.8505 0.3832
0.8505 0.3832 0.3832
0.7500 0.7500 0.7500

---

no.,magnetic moment (μB per formula unit)
1,0.00
2,0.77
3,1.17
4,1.51
5,3.53
6,3.74
7,0.01
8,7.94
9,7.46
10,5.01
11,0.00
12,0.00
13,0.00
14,0.00
15,0.00
16,0.00
17,0.27
18,2.37
19,0.00
20,0.95
21,0.01
22,4.23
23,3.30
24,2.52
25,2.01